Entry 1:
DFT (PBE) results for a relaxed La2TbTh3Bi6 crystal.

Unit cell a=10.3300 b=10.3300 c=9.2278 alpha=103.13 beta=103.13 gamma=25.80
Element x y z (fractional)
La 0.1656 0.1656 0.3321
La 0.8344 0.8344 0.6679
Tb 0.5000 0.5000 0.0000
Th 0.1690 0.1690 0.8348
Th 0.5000 0.5000 0.5000
Th 0.8310 0.8310 0.1652
Bi 0.0025 0.0025 0.7558
Bi 0.3343 0.3343 0.4140
Bi 0.3364 0.3364 0.9214
Bi 0.6636 0.6636 0.0786
Bi 0.6657 0.6657 0.5860
Bi 0.9975 0.9975 0.2442

Values from the calculation:
Energy of formation (eV/atom): -0.7861
Magnetic moment (μB per formula unit): 0.0

---

Entry 2:
DFT (PBE) results for a relaxed Mn3AgBr8 crystal.

Unit cell a=7.9198 b=7.9198 c=7.8642 alpha=116.64 beta=116.64 gamma=58.13
Element x y z (fractional)
Mn 0.0000 0.0000 0.0000
Mn 0.0000 0.5000 0.0000
Mn 0.5000 0.0000 0.0000
Ag 0.5000 0.5000 0.0000
Br 0.2127 0.7525 0.2197
Br 0.2398 0.2398 0.2286
Br 0.2475 0.7873 0.7803
Br 0.2537 0.2537 0.7779
Br 0.7463 0.7463 0.2221
Br 0.7525 0.2127 0.2197
Br 0.7602 0.7602 0.7714
Br 0.7873 0.2475 0.7803

Values from the calculation:
Magnetic moment (μB per formula unit): 14.1
Formation energy without anion corrections (eV per atom): -0.649